No. 1
# LaHfTa2

An optimized crystal structure of LaHfTa2 (PBE-GGA, the Alexandria database).

Results
**ΔE to the lowest computed polymorph**: 0.000 eV per atom
**D(E_F)**: 7.52 states/eV per cell

a b c (Å): 4.993 4.993 4.993
angles (deg): 60.00 60.00 60.00
Element x y z (fractional)
La1 0.000 0.000 0.000
Hf1 0.500 0.500 0.500
Ta1 0.250 0.250 0.250
Ta2 0.750 0.750 0.750

No. 2
# LaTb2Hf

An optimized crystal structure of LaTb2Hf (PBE-GGA, the Alexandria database).

Results
**ΔE to the lowest computed polymorph**: 0.268 eV per atom
**D(E_F)**: 6.07 states/eV per cell

a b c (Å): 12.320 12.320 12.320
angles (deg): 15.75 15.75 15.75
Element x y z (fractional)
La1 0.000 0.000 0.000
Tb1 0.415 0.415 0.415
Tb2 0.585 0.585 0.585
Hf1 0.500 0.500 0.500

No. 3
# La2TbHf

An optimized crystal structure of La2TbHf (PBE-GGA, the Alexandria database).

Results
**ΔE to the lowest computed polymorph**: 0.199 eV per atom
**D(E_F)**: 5.94 states/eV per cell

a b c (Å): 12.523 12.523 12.523
angles (deg): 15.53 15.53 15.53
Element x y z (fractional)
La1 0.083 0.083 0.083
La2 0.917 0.917 0.917
Tb1 0.500 0.500 0.500
Hf1 0.000 0.000 0.000

No. 4
# LaTb2Hf

An optimized crystal structure of LaTb2Hf (PBE-GGA, the Alexandria database).

Results
**ΔE to the lowest computed polymorph**: 0.041 eV per atom
**D(E_F)**: 5.12 states/eV per cell

a b c (Å): 4.894 4.894 4.971
angles (deg): 90.00 90.00 90.00
Element x y z (fractional)
La1 0.000 0.000 0.000
Tb1 0.000 0.500 0.500
Tb2 0.500 0.000 0.500
Hf1 0.500 0.500 0.000

No. 5
# LaTb2Hf

An optimized crystal structure of LaTb2Hf (PBE-GGA, the Alexandria database).

Results
**ΔE to the lowest computed polymorph**: 0.098 eV per atom
**D(E_F)**: 8.89 states/eV per cell

a b c (Å): 3.991 3.991 7.681
angles (deg): 90.00 90.00 90.00
Element x y z (fractional)
La1 0.000 0.000 0.000
Tb1 0.500 0.500 0.290
Tb2 0.500 0.500 0.710
Hf1 0.000 0.000 0.500

No. 6
# La2TbHf

An optimized crystal structure of La2TbHf (PBE-GGA, the Alexandria database).

Results
**ΔE to the lowest computed polymorph**: 0.000 eV per atom
**D(E_F)**: 3.76 states/eV per cell

a b c (Å): 5.039 5.039 4.849
angles (deg): 90.00 90.00 90.00
Element x y z (fractional)
La1 0.000 0.500 0.000
La2 0.500 0.000 0.000
Tb1 0.000 0.000 0.500
Hf1 0.500 0.500 0.500

No. 7
# La2TbHf

An optimized crystal structure of La2TbHf (PBE-GGA, the Alexandria database).

Results
**ΔE to the lowest computed polymorph**: 0.024 eV per atom
**D(E_F)**: 3.70 states/eV per cell

a b c (Å): 4.080 4.080 7.466
angles (deg): 90.00 90.00 90.00
Element x y z (fractional)
La1 0.000 0.000 0.225
La2 0.000 0.000 0.775
Tb1 0.500 0.500 0.500
Hf1 0.500 0.500 0.000

No. 8
# LaTb2Hf

An optimized crystal structure of LaTb2Hf (PBE-GGA, the Alexandria database).

Results
**ΔE to the lowest computed polymorph**: 0.000 eV per atom
**D(E_F)**: 4.91 states/eV per cell

a b c (Å): 11.673 11.673 11.673
angles (deg): 17.06 17.06 17.06
Element x y z (fractional)
La1 0.000 0.000 0.000
Tb1 0.575 0.575 0.575
Tb2 0.758 0.758 0.758
Hf1 0.166 0.166 0.166

Quick rundown of calculated formation energy, same order as above: 2.2; 1.6; 1.5; 0.7; 0.9; 0.7; 0.8; 0.5 eV/f.u.